Entry 1:
Computed, not measured: an optimized crystal structure of MgCdTeO at the PBE level of DFT.

a b c (Å): 3.658 3.658 13.865
angles (deg): 90.00 90.00 120.00
Positions (direct):
Mg 0.333 0.667 0.000
Mg 0.667 0.333 0.500
Cd 0.000 0.000 0.192
Cd 0.000 0.000 0.692
Te 0.333 0.667 0.330
Te 0.667 0.333 0.830
O 0.000 0.000 0.033
O 0.000 0.000 0.533

Calculated values
* space-group type: P6_3mc (186)

=====

Entry 2:
Computed, not measured: an optimized crystal structure of ErLu6Hg at the PBE level of DFT.

a b c (Å): 6.912 6.912 5.459
angles (deg): 90.00 90.00 120.00
Positions (direct):
Er 0.000 0.000 0.000
Lu 0.001 0.501 0.000
Lu 0.327 0.164 0.500
Lu 0.499 0.501 0.000
Lu 0.499 0.999 0.000
Lu 0.836 0.164 0.500
Lu 0.836 0.673 0.500
Hg 0.333 0.667 0.500

Calculated values
* space-group type: P-6m2 (187)
* M_tot: 0.10 μB per atom
* E_form: -0.03 eV per atom

=====

Entry 3:
Computed, not measured: an optimized crystal structure of Ge2Pd2O5 at the PBE level of DFT.

a b c (Å): 3.628 3.628 7.833
angles (deg): 90.00 90.00 90.00
Positions (direct):
Ge 0.000 0.000 0.234
Ge 0.000 0.000 0.766
Pd 0.500 0.500 0.000
Pd 0.500 0.500 0.500
O 0.000 0.000 0.000
O 0.000 0.500 0.306
O 0.000 0.500 0.694
O 0.500 0.000 0.306
O 0.500 0.000 0.694

Calculated values
* space-group type: P4/mmm (123)

=====

Entry 4:
Computed, not measured: an optimized crystal structure of GdY2Al3Cu3 at the PBE level of DFT.

a b c (Å): 4.007 7.044 7.044
angles (deg): 119.77 90.00 90.00
Positions (direct):
Gd 0.000 0.000 0.000
Y 0.000 0.414 0.829
Y 0.000 0.829 0.414
Al 0.500 0.180 0.416
Al 0.500 0.416 0.180
Al 0.500 0.650 0.650
Cu 0.000 0.415 0.415
Cu 0.500 0.082 0.748
Cu 0.500 0.748 0.082

Calculated values
* space-group type: Amm2 (38)
* M_tot: 0.00 μB per atom

=====

Entry 5:
Computed, not measured: an optimized crystal structure of TbHgPb at the PBE level of DFT.

a b c (Å): 7.191 7.191 7.191
angles (deg): 90.00 90.00 90.00
Positions (direct):
Tb 0.000 0.000 0.000
Tb 0.000 0.500 0.500
Tb 0.500 0.000 0.500
Tb 0.500 0.500 0.000
Hg 0.000 0.000 0.500
Hg 0.000 0.500 0.000
Hg 0.500 0.000 0.000
Hg 0.500 0.500 0.500
Pb 0.250 0.250 0.750
Pb 0.250 0.750 0.250
Pb 0.750 0.250 0.250
Pb 0.750 0.750 0.750

Calculated values
* space-group type: F-43m (216)
* M_tot: 0.00 μB per atom

=====

Entry 6:
Computed, not measured: an optimized crystal structure of FeAgB4 at the PBE level of DFT.

a b c (Å): 2.969 2.969 7.399
angles (deg): 90.00 90.00 120.00
Positions (direct):
Fe 0.000 0.000 0.000
Ag 0.000 0.000 0.500
B 0.333 0.667 0.202
B 0.333 0.667 0.798
B 0.667 0.333 0.202
B 0.667 0.333 0.798

Calculated values
* space-group type: P6/mmm (191)
* M_tot: 0.39 μB per atom

=====

Entry 7:
Computed, not measured: an optimized crystal structure of BeZnGa2Cu4 at the PBE level of DFT.

a b c (Å): 4.105 4.105 5.851
angles (deg): 90.00 90.00 90.00
Positions (direct):
Be 0.000 0.000 0.000
Zn 0.500 0.500 0.500
Ga 0.000 0.000 0.500
Ga 0.500 0.500 0.000
Cu 0.000 0.500 0.235
Cu 0.000 0.500 0.765
Cu 0.500 0.000 0.235
Cu 0.500 0.000 0.765

Calculated values
* space-group type: P4/mmm (123)

=====

Entry 8:
Computed, not measured: an optimized crystal structure of ZrCuReAs at the PBE level of DFT.

a b c (Å): 6.368 6.368 6.368
angles (deg): 90.00 90.00 90.00
Positions (direct):
Zr 0.000 0.000 0.000
Zr 0.000 0.500 0.500
Zr 0.500 0.000 0.500
Zr 0.500 0.500 0.000
Cu 0.250 0.250 0.750
Cu 0.250 0.750 0.250
Cu 0.750 0.250 0.250
Cu 0.750 0.750 0.750
Re 0.250 0.250 0.250
Re 0.250 0.750 0.750
Re 0.750 0.250 0.750
Re 0.750 0.750 0.250
As 0.000 0.000 0.500
As 0.000 0.500 0.000
As 0.500 0.000 0.000
As 0.500 0.500 0.500

Calculated values
* space-group type: F-43m (216)
* M_tot: 0.02 μB per atom

=====

Entry 9:
Computed, not measured: an optimized crystal structure of NbNiBAu at the PBE level of DFT.

a b c (Å): 6.038 6.038 6.038
angles (deg): 90.00 90.00 90.00
Positions (direct):
Nb 0.000 0.000 0.000
Nb 0.000 0.500 0.500
Nb 0.500 0.000 0.500
Nb 0.500 0.500 0.000
Ni 0.000 0.000 0.500
Ni 0.000 0.500 0.000
Ni 0.500 0.000 0.000
Ni 0.500 0.500 0.500
B 0.250 0.250 0.250
B 0.250 0.750 0.750
B 0.750 0.250 0.750
B 0.750 0.750 0.250
Au 0.250 0.250 0.750
Au 0.250 0.750 0.250
Au 0.750 0.250 0.250
Au 0.750 0.750 0.750

Calculated values
* space-group type: F-43m (216)
* M_tot: 0.00 μB per atom

=====

Entry 10:
Computed, not measured: an optimized crystal structure of ErTmGa4Au2 at the PBE level of DFT.

a b c (Å): 6.649 4.477 10.302
angles (deg): 90.00 90.00 90.00
Positions (direct):
Er 0.000 0.000 0.000
Er 0.000 0.500 0.500
Tm 0.500 0.000 0.817
Tm 0.500 0.500 0.317
Ga 0.201 0.000 0.289
Ga 0.201 0.500 0.789
Ga 0.299 0.000 0.529
Ga 0.299 0.500 0.029
Ga 0.701 0.000 0.529
Ga 0.701 0.500 0.029
Ga 0.799 0.000 0.289
Ga 0.799 0.500 0.789
Au 0.000 0.000 0.708
Au 0.000 0.500 0.208
Au 0.500 0.000 0.109
Au 0.500 0.500 0.609

Calculated values
* space-group type: Amm2 (38)
* M_tot: 0.00 μB per atom

=====

Entry 11:
Computed, not measured: an optimized crystal structure of PrTlInSe3 at the PBE level of DFT.

a b c (Å): 7.343 7.343 11.524
angles (deg): 90.00 90.00 143.26
Positions (direct):
Pr 0.000 0.000 0.000
Pr 0.000 0.000 0.500
Tl 0.260 0.740 0.750
Tl 0.740 0.260 0.250
In 0.462 0.538 0.250
In 0.538 0.462 0.750
Se 0.069 0.931 0.250
Se 0.363 0.637 0.050
Se 0.363 0.637 0.450
Se 0.637 0.363 0.550
Se 0.637 0.363 0.950
Se 0.931 0.069 0.750

Calculated values
* space-group type: Cmcm (63)
* M_tot: 0.00 μB per atom

=====

Entry 12:
Computed, not measured: an optimized crystal structure of LuInCuAg at the PBE level of DFT.

a b c (Å): 6.796 6.796 6.796
angles (deg): 90.00 90.00 90.00
Positions (direct):
Lu 0.000 0.000 0.000
Lu 0.000 0.500 0.500
Lu 0.500 0.000 0.500
Lu 0.500 0.500 0.000
In 0.250 0.250 0.250
In 0.250 0.750 0.750
In 0.750 0.250 0.750
In 0.750 0.750 0.250
Cu 0.000 0.000 0.500
Cu 0.000 0.500 0.000
Cu 0.500 0.000 0.000
Cu 0.500 0.500 0.500
Ag 0.250 0.250 0.750
Ag 0.250 0.750 0.250
Ag 0.750 0.250 0.250
Ag 0.750 0.750 0.750

Calculated values
* space-group type: F-43m (216)
* M_tot: 0.00 μB per atom

=====

Entry 13:
Computed, not measured: an optimized crystal structure of KAuSeO at the PBE level of DFT.

a b c (Å): 4.623 4.623 9.036
angles (deg): 90.00 90.00 90.00
Positions (direct):
K 0.250 0.750 0.000
K 0.750 0.250 0.000
Au 0.250 0.250 0.498
Au 0.750 0.750 0.502
Se 0.250 0.250 0.222
Se 0.750 0.750 0.778
O 0.250 0.750 0.500
O 0.750 0.250 0.500

Calculated values
* space-group type: P4/nmm (129)

=====

Entry 14:
Computed, not measured: an optimized crystal structure of Er2CuPt at the PBE level of DFT.

a b c (Å): 5.515 4.471 6.928
angles (deg): 90.00 90.16 90.00
Positions (direct):
Er 0.137 0.250 0.187
Er 0.355 0.250 0.677
Er 0.645 0.750 0.323
Er 0.863 0.750 0.813
Cu 0.375 0.750 0.970
Cu 0.625 0.250 0.030
Pt 0.162 0.750 0.451
Pt 0.838 0.250 0.549

Calculated values
* space-group type: P2_1/m (11)
* M_tot: 0.00 μB per atom
* E_form: -0.82 eV per atom

=====

Entry 15:
Computed, not measured: an optimized crystal structure of ScZn2Co5 at the PBE level of DFT.

a b c (Å): 4.141 5.758 8.253
angles (deg): 90.00 90.00 90.00
Positions (direct):
Sc 0.000 0.000 0.000
Sc 0.000 0.500 0.500
Zn 0.000 0.000 0.508
Zn 0.000 0.500 0.008
Zn 0.500 0.000 0.234
Zn 0.500 0.500 0.734
Co 0.000 0.248 0.755
Co 0.000 0.252 0.255
Co 0.000 0.748 0.255
Co 0.000 0.752 0.755
Co 0.500 0.000 0.736
Co 0.500 0.235 0.486
Co 0.500 0.265 0.986
Co 0.500 0.500 0.236
Co 0.500 0.735 0.986
Co 0.500 0.765 0.486

Calculated values
* space-group type: Amm2 (38)
* M_tot: 0.58 μB per atom
* E_form: -0.03 eV per atom

=====

Entry 16:
Computed, not measured: an optimized crystal structure of Zr3CuC at the PBE level of DFT.

a b c (Å): 5.959 5.959 8.991
angles (deg): 90.00 90.00 147.13
Positions (direct):
Zr 0.059 0.941 0.750
Zr 0.371 0.629 0.557
Zr 0.371 0.629 0.943
Zr 0.629 0.371 0.057
Zr 0.629 0.371 0.443
Zr 0.941 0.059 0.250
Cu 0.250 0.750 0.250
Cu 0.750 0.250 0.750
C 0.000 0.000 0.000
C 0.000 0.000 0.500

Calculated values
* space-group type: Cmcm (63)
* M_tot: 0.00 μB per atom

=====

Entry 17:
Computed, not measured: an optimized crystal structure of ZrSiSn2 at the PBE level of DFT.

a b c (Å): 7.143 7.143 7.143
angles (deg): 90.00 90.00 90.00
Positions (direct):
Zr 0.000 0.000 0.000
Zr 0.000 0.500 0.500
Zr 0.500 0.000 0.500
Zr 0.500 0.500 0.000
Si 0.250 0.250 0.750
Si 0.250 0.750 0.250
Si 0.750 0.250 0.250
Si 0.750 0.750 0.750
Sn 0.000 0.000 0.500
Sn 0.000 0.500 0.000
Sn 0.250 0.250 0.250
Sn 0.250 0.750 0.750
Sn 0.500 0.000 0.000
Sn 0.500 0.500 0.500
Sn 0.750 0.250 0.750
Sn 0.750 0.750 0.250

Calculated values
* space-group type: F-43m (216)
* M_tot: 0.00 μB per atom

=====

Entry 18:
Computed, not measured: an optimized crystal structure of Sc2TcPd at the PBE level of DFT.

a b c (Å): 6.459 6.531 3.277
angles (deg): 90.00 90.00 90.00
Positions (direct):
Sc 0.250 0.250 0.000
Sc 0.250 0.750 0.000
Sc 0.750 0.250 0.000
Sc 0.750 0.750 0.000
Tc 0.000 0.000 0.500
Tc 0.500 0.500 0.500
Pd 0.000 0.500 0.500
Pd 0.500 0.000 0.500

Calculated values
* space-group type: Cmmm (65)
* M_tot: 0.00 μB per atom
* E_form: -0.55 eV per atom

=====

Entry 19:
Computed, not measured: an optimized crystal structure of DyRe at the PBE level of DFT.

a b c (Å): 6.305 6.305 6.305
angles (deg): 90.00 90.00 90.00
Positions (direct):
Dy 0.000 0.000 0.000
Dy 0.000 0.500 0.500
Dy 0.500 0.000 0.500
Dy 0.500 0.500 0.000
Re 0.250 0.250 0.750
Re 0.250 0.750 0.250
Re 0.750 0.250 0.250
Re 0.750 0.750 0.750

Calculated values
* space-group type: F-43m (216)
* M_tot: 1.01 μB per atom
* E_form: 2.41 eV per atom

=====

Entry 20:
Computed, not measured: an optimized crystal structure of NdDyNi2P4 at the PBE level of DFT.

a b c (Å): 3.754 3.754 9.661
angles (deg): 90.00 90.00 90.00
Positions (direct):
Nd 0.000 0.000 0.000
Dy 0.500 0.500 0.534
Ni 0.000 0.500 0.274
Ni 0.500 0.000 0.274
P 0.000 0.000 0.407
P 0.000 0.500 0.761
P 0.500 0.000 0.761
P 0.500 0.500 0.144

Calculated values
* space-group type: P4mm (99)
* M_tot: 0.00 μB per atom

=====

Entry 21:
Computed, not measured: an optimized crystal structure of NdHfMo at the PBE level of DFT.

a b c (Å): 6.695 6.695 6.695
angles (deg): 90.00 90.00 90.00
Positions (direct):
Nd 0.000 0.000 0.000
Nd 0.000 0.500 0.500
Nd 0.500 0.000 0.500
Nd 0.500 0.500 0.000
Hf 0.250 0.250 0.750
Hf 0.250 0.750 0.250
Hf 0.750 0.250 0.250
Hf 0.750 0.750 0.750
Mo 0.250 0.250 0.250
Mo 0.250 0.750 0.750
Mo 0.750 0.250 0.750
Mo 0.750 0.750 0.250

Calculated values
* space-group type: F-43m (216)
* M_tot: 0.24 μB per atom
* E_form: 1.50 eV per atom

=====

Entry 22:
Computed, not measured: an optimized crystal structure of ErTmMg2Cu4 at the PBE level of DFT.

a b c (Å): 4.646 4.646 6.571
angles (deg): 90.00 90.00 90.00
Positions (direct):
Er 0.000 0.000 0.000
Tm 0.500 0.500 0.500
Mg 0.000 0.000 0.500
Mg 0.500 0.500 0.000
Cu 0.000 0.500 0.250
Cu 0.000 0.500 0.750
Cu 0.500 0.000 0.250
Cu 0.500 0.000 0.750

Calculated values
* space-group type: P4/mmm (123)
* M_tot: 0.00 μB per atom

=====

Entry 23:
Computed, not measured: an optimized crystal structure of CdAg2Au at the PBE level of DFT.

a b c (Å): 6.671 6.671 6.671
angles (deg): 90.00 90.00 90.00
Positions (direct):
Cd 0.000 0.000 0.000
Cd 0.000 0.500 0.500
Cd 0.500 0.000 0.500
Cd 0.500 0.500 0.000
Ag 0.000 0.000 0.500
Ag 0.000 0.500 0.000
Ag 0.250 0.250 0.750
Ag 0.250 0.750 0.250
Ag 0.500 0.000 0.000
Ag 0.500 0.500 0.500
Ag 0.750 0.250 0.250
Ag 0.750 0.750 0.750
Au 0.250 0.250 0.250
Au 0.250 0.750 0.750
Au 0.750 0.250 0.750
Au 0.750 0.750 0.250

Calculated values
* space-group type: F-43m (216)
* E_form: -0.09 eV per atom

=====

Entry 24:
Computed, not measured: an optimized crystal structure of ThGaPt at the PBE level of DFT.

a b c (Å): 8.250 8.250 3.337
angles (deg): 90.00 90.00 120.00
Positions (direct):
Th 0.000 0.303 0.000
Th 0.303 0.000 0.000
Th 0.697 0.697 0.000
Ga 0.000 0.000 0.500
Ga 0.333 0.667 0.000
Ga 0.667 0.333 0.000
Pt 0.000 0.658 0.500
Pt 0.342 0.342 0.500
Pt 0.658 0.000 0.500

Calculated values
* space-group type: P-62m (189)
* M_tot: 0.00 μB per atom

=====

Entry 25:
Computed, not measured: an optimized crystal structure of PrDy2Cu4Si4 at the PBE level of DFT.

a b c (Å): 12.114 12.114 12.114
angles (deg): 160.76 160.63 27.43
Positions (direct):
Pr 0.000 0.000 0.000
Dy 0.349 0.849 0.500
Dy 0.651 0.151 0.500
Cu 0.098 0.598 0.500
Cu 0.250 0.250 0.000
Cu 0.750 0.750 0.000
Cu 0.902 0.402 0.500
Si 0.195 0.695 0.500
Si 0.449 0.449 0.000
Si 0.551 0.551 0.000
Si 0.805 0.305 0.500

Calculated values
* space-group type: Immm (71)
* M_tot: 0.00 μB per atom

=====

Entry 26:
Computed, not measured: an optimized crystal structure of ErAl5 at the PBE level of DFT.

a b c (Å): 5.480 5.480 4.400
angles (deg): 90.00 90.00 120.00
Positions (direct):
Er 0.000 0.000 0.000
Al 0.000 0.500 0.500
Al 0.333 0.667 0.000
Al 0.500 0.000 0.500
Al 0.500 0.500 0.500
Al 0.667 0.333 0.000

Calculated values
* space-group type: P6/mmm (191)
* M_tot: 0.00 μB per atom

=====

The evaluated calculated total energy for the records listed, in turn: -3.5859, -4.0255, -5.4610, -4.8932, -2.9688, -6.0754, -3.2858, -7.1550, -6.0061, -4.0994, -4.3001, -3.5874, -3.0360, -5.5416, -5.5815, -8.1591, -5.2493, -7.5977, -6.1021, -6.2339, -7.0226, -3.5883, -2.5472, -6.0086, -5.2078, -4.0384 eV per atom.